[1]
The following is a DFT calculation (PBE) of a relaxed Cs4HfS5 crystal.

formation energy from raw total energies: -10.888 eV per formula unit
crystal system: tetragonal

POSCAR file:
```
Cs4HfS5
1.0
-5.222 5.222 3.619
5.222 -5.222 3.619
5.222 5.222 -3.619
Cs Hf S
4 1 5
Direct
0.090 0.298 0.388 Cs
0.298 0.910 0.208 Cs
0.702 0.090 0.792 Cs
0.910 0.702 0.612 Cs
0.571 0.571 0.000 Hf
0.265 0.559 0.851 S
0.414 0.265 0.706 S
0.559 0.708 0.294 S
0.708 0.414 0.149 S
0.898 0.898 0.000 S
```


[2]
The following is a DFT calculation (PBE) of a relaxed Pm3PdPb2 crystal.

polymorph energy (0 for the lowest one): 3.9 kJ per mole of atoms
formation energy: -3.6 eV per formula unit
crystal system: tetragonal

POSCAR file:
```
Pm3PdPb2
1.0
3.627 0.000 0.000
0.000 3.627 0.000
0.000 0.000 12.616
Pm Pd Pb
3 1 2
Direct
0.000 0.000 0.000 Pm
0.000 0.000 0.360 Pm
0.000 0.000 0.640 Pm
0.500 0.500 0.500 Pd
0.500 0.500 0.180 Pb
0.500 0.500 0.820 Pb
```


[3]
The following is a DFT calculation (PBE) of a relaxed ScTe3Se crystal.

polymorph energy (0 for the lowest one): 0.0 kJ per mole of atoms
formation energy from raw total energies: 0.397 eV per formula unit
crystal system: cubic

POSCAR file:
```
ScTe3Se
1.0
5.466 0.000 0.000
0.000 5.466 0.000
0.000 0.000 5.466
Sc Te Se
1 3 1
Direct
0.000 0.000 0.000 Sc
0.000 0.000 0.500 Te
0.000 0.500 0.000 Te
0.500 0.000 0.000 Te
0.500 0.500 0.500 Se
```


[4]
The following is a DFT calculation (PBE) of a relaxed RbV3Tc crystal.

polymorph energy (0 for the lowest one): 0.0 kJ per mole of atoms
formation energy: 6.2 eV per formula unit
crystal system: cubic

POSCAR file:
```
RbV3Tc
1.0
4.918 0.000 0.000
0.000 4.918 0.000
0.000 0.000 4.918
Rb V Tc
1 3 1
Direct
0.000 0.000 0.000 Rb
0.000 0.500 0.500 V
0.500 0.000 0.500 V
0.500 0.500 0.000 V
0.500 0.500 0.500 Tc
```


[5]
The following is a DFT calculation (PBE) of a relaxed Pu3SbH crystal.

energy: -52.36 eV per cell
crystal system: cubic

POSCAR file:
```
Pu3SbH
1.0
4.791 0.000 0.000
0.000 4.791 0.000
0.000 0.000 4.791
Pu Sb H
3 1 1
Direct
0.000 0.000 0.500 Pu
0.000 0.500 0.000 Pu
0.500 0.000 0.000 Pu
0.500 0.500 0.500 Sb
0.000 0.000 0.000 H
```


[6]
The following is a DFT calculation (PBE) of a relaxed Dy6Y3Tm crystal.

polymorph energy (0 for the lowest one): 0.9 kJ per mole of atoms
formation energy: 1.4 eV per formula unit
crystal system: orthorhombic

POSCAR file:
```
Dy6Y3Tm
1.0
5.510 -9.498 0.000
5.510 9.498 0.000
0.000 0.000 6.153
Dy Y Tm
12 6 2
Direct
0.043 0.464 0.933 Dy
0.048 0.952 0.500 Dy
0.282 0.718 0.212 Dy
0.288 0.382 0.105 Dy
0.382 0.288 0.605 Dy
0.464 0.043 0.433 Dy
0.536 0.957 0.933 Dy
0.618 0.712 0.105 Dy
0.712 0.618 0.605 Dy
0.718 0.282 0.712 Dy
0.952 0.048 0.000 Dy
0.957 0.536 0.433 Dy
0.060 0.278 0.532 Y
0.278 0.060 0.032 Y
0.390 0.610 0.641 Y
0.610 0.390 0.141 Y
0.722 0.940 0.532 Y
0.940 0.722 0.032 Y
0.208 0.792 0.714 Tm
0.792 0.208 0.214 Tm
```